Record 1
The following is a DFT calculation (PBE-GGA) of a relaxed structure of Pr4Ho10Mg.

Computed properties:
SG: I4/m
Formation energy from the elements, eV per formula unit: 5.413

Cell: 8.733 8.733 8.733 Å, 111.25 111.25 105.97°
Fractional positions:
Pr  0.072  0.671  0.743
Pr  0.329  0.072  0.401
Pr  0.671  0.928  0.599
Pr  0.928  0.329  0.257
Ho  0.126  0.229  0.678
Ho  0.229  0.551  0.102
Ho  0.250  0.750  0.500
Ho  0.448  0.126  0.898
Ho  0.449  0.552  0.678
Ho  0.551  0.448  0.322
Ho  0.552  0.874  0.102
Ho  0.750  0.250  0.500
Ho  0.771  0.449  0.898
Ho  0.874  0.771  0.322
Mg  0.000  0.000  0.000

=====

Record 2
The following is a DFT calculation (PBE-GGA) of a relaxed structure of KRbMg.

Computed properties:
SG: P-1
Formation energy from the elements, eV per formula unit: 0.467

Cell: 4.458 6.465 12.461 Å, 104.64 90.21 90.08°
Fractional positions:
K  0.249  0.420  0.353
K  0.751  0.580  0.647
Rb  0.250  0.807  0.119
Rb  0.750  0.193  0.881
Mg  0.251  0.051  0.588
Mg  0.749  0.949  0.412

=====

Record 3
The following is a DFT calculation (PBE-GGA) of a relaxed structure of Y3Er5Ru2.

Computed properties:
SG: Ibam
Formation energy from the elements, eV per formula unit: -1.073

Cell: 9.734 9.734 9.734 Å, 118.93 81.94 131.02°
Fractional positions:
Y  0.127  0.732  0.858
Y  0.250  0.250  0.000
Y  0.373  0.232  0.605
Y  0.627  0.768  0.395
Y  0.750  0.750  0.000
Y  0.873  0.268  0.142
Er  0.001  0.750  0.251
Er  0.124  0.271  0.395
Er  0.250  0.750  0.500
Er  0.376  0.771  0.146
Er  0.499  0.750  0.749
Er  0.501  0.250  0.251
Er  0.624  0.229  0.854
Er  0.750  0.250  0.500
Er  0.876  0.729  0.605
Er  0.999  0.250  0.749
Ru  0.132  0.004  0.135
Ru  0.368  0.504  0.872
Ru  0.632  0.496  0.128
Ru  0.868  0.996  0.865

=====

Record 4
The following is a DFT calculation (PBE-GGA) of a relaxed structure of KBeHg2Au.

Computed properties:
SG: P4/mmm
Formation energy from the elements, eV per formula unit: -0.338

Cell: 4.995 4.995 4.800 Å, 90.00 90.00 90.00°
Fractional positions:
K  0.000  0.000  0.000
Be  0.500  0.500  0.500
Hg  0.000  0.500  0.500
Hg  0.500  0.000  0.500
Au  0.500  0.500  0.000

=====

Record 5
The following is a DFT calculation (PBE-GGA) of a relaxed structure of Li3TiCl6.

Computed properties:
SG: P2_1/c
Raw total energy, eV/atom: -4.133

Cell: 6.432 6.533 11.655 Å, 90.00 123.44 90.00°
Fractional positions:
Li  0.000  0.000  0.000
Li  0.000  0.500  0.500
Li  0.212  0.038  0.724
Li  0.212  0.462  0.224
Li  0.788  0.538  0.776
Li  0.788  0.962  0.276
Ti  0.500  0.000  0.500
Ti  0.500  0.500  0.000
Cl  0.141  0.090  0.268
Cl  0.141  0.410  0.768
Cl  0.229  0.676  0.054
Cl  0.229  0.824  0.554
Cl  0.431  0.188  0.085
Cl  0.431  0.312  0.585
Cl  0.569  0.688  0.415
Cl  0.569  0.812  0.915
Cl  0.771  0.176  0.446
Cl  0.771  0.324  0.946
Cl  0.859  0.590  0.232
Cl  0.859  0.910  0.732

=====

Record 6
The following is a DFT calculation (PBE-GGA) of a relaxed structure of LaAg2Os.

Computed properties:
SG: P2/m
Formation energy from the elements, eV per formula unit: 1.227
Offset from the most stable computed form, meV per atom: 94

Cell: 3.027 5.139 5.368 Å, 90.00 102.99 90.00°
Fractional positions:
La  0.000  0.000  0.000
Ag  0.343  0.500  0.724
Ag  0.657  0.500  0.276
Os  0.500  0.000  0.500

=====

Record 7
The following is a DFT calculation (PBE-GGA) of a relaxed structure of Pm6SmTl3.

Computed properties:
SG: P2_1/m
Formation energy from the elements, eV per formula unit: -2.017

Cell: 10.358 5.315 11.523 Å, 90.00 99.14 90.00°
Fractional positions:
Pm  0.048  0.250  0.404
Pm  0.139  0.750  0.191
Pm  0.226  0.250  0.982
Pm  0.320  0.750  0.781
Pm  0.362  0.250  0.275
Pm  0.431  0.250  0.592
Pm  0.569  0.750  0.408
Pm  0.638  0.750  0.725
Pm  0.680  0.250  0.219
Pm  0.774  0.750  0.018
Pm  0.861  0.250  0.809
Pm  0.952  0.750  0.596
Sm  0.453  0.750  0.094
Sm  0.547  0.250  0.906
Tl  0.043  0.750  0.891
Tl  0.142  0.250  0.690
Tl  0.258  0.750  0.473
Tl  0.742  0.250  0.527
Tl  0.858  0.750  0.310
Tl  0.957  0.250  0.109

=====

Record 8
The following is a DFT calculation (PBE-GGA) of a relaxed structure of PrHoNi2H8.

Computed properties:
SG: R-3m
Raw total energy, eV/atom: -4.279

Cell: 6.933 6.933 6.933 Å, 37.50 37.50 37.50°
Fractional positions:
Pr  0.000  0.000  0.000
Ho  0.500  0.500  0.500
Ni  0.254  0.254  0.254
Ni  0.746  0.746  0.746
H  0.037  0.037  0.591
H  0.037  0.591  0.037
H  0.337  0.337  0.337
H  0.409  0.963  0.963
H  0.591  0.037  0.037
H  0.663  0.663  0.663
H  0.963  0.409  0.963
H  0.963  0.963  0.409

=====

Record 9
The following is a DFT calculation (PBE-GGA) of a relaxed structure of AlMo3.

Computed properties:
SG: Cmmm
Formation energy from the elements, eV per formula unit: -0.305
Offset from the most stable computed form, meV per atom: 176

Cell: 2.740 2.740 8.787 Å, 90.00 90.00 108.47°
Fractional positions:
Al  0.000  0.000  0.000
Mo  0.000  0.000  0.500
Mo  0.500  0.500  0.248
Mo  0.500  0.500  0.752

=====

Record 10
The following is a DFT calculation (PBE-GGA) of a relaxed structure of Nb2CuRu.

Computed properties:
SG: I-42d
Formation energy from the elements, eV per formula unit: 1.555

Cell: 5.701 5.701 5.701 Å, 103.02 103.02 123.33°
Fractional positions:
Nb  0.108  0.625  0.983
Nb  0.375  0.358  0.483
Nb  0.642  0.125  0.017
Nb  0.875  0.892  0.517
Cu  0.250  0.750  0.500
Cu  0.500  0.500  0.000
Ru  0.000  0.000  0.000
Ru  0.750  0.250  0.500

=====

Record 11
The following is a DFT calculation (PBE-GGA) of a relaxed structure of NaCaTbSn.

Computed properties:
SG: F-43m
Formation energy from the elements, eV per formula unit: -1.225

Cell: 5.426 5.426 5.426 Å, 60.00 60.00 60.00°
Fractional positions:
Na  0.000  0.000  0.000
Ca  0.750  0.750  0.750
Tb  0.250  0.250  0.250
Sn  0.500  0.500  0.500

=====

Record 12
The following is a DFT calculation (PBE-GGA) of a relaxed structure of TePt.

Computed properties:
SG: P4_2/mnm
Raw total energy, eV/atom: -4.790

Cell: 7.494 7.494 4.003 Å, 90.00 90.00 90.00°
Fractional positions:
Te  0.211  0.211  0.000
Te  0.289  0.711  0.500
Te  0.711  0.289  0.500
Te  0.789  0.789  0.000
Pt  0.132  0.868  0.000
Pt  0.368  0.368  0.500
Pt  0.632  0.632  0.500
Pt  0.868  0.132  0.000

=====

Record 13
The following is a DFT calculation (PBE-GGA) of a relaxed structure of HICl3.

Computed properties:
SG: Pm-3m
Offset from the most stable computed form, meV per atom: 672

Cell: 5.377 5.377 5.377 Å, 90.00 90.00 90.00°
Fractional positions:
H  0.000  0.000  0.000
I  0.500  0.500  0.500
Cl  0.000  0.500  0.500
Cl  0.500  0.000  0.500
Cl  0.500  0.500  0.000

=====

Record 14
The following is a DFT calculation (PBE-GGA) of a relaxed structure of PmGaAg4.

Computed properties:
SG: Pmma
Formation energy from the elements, eV per formula unit: -0.945
Offset from the most stable computed form, meV per atom: 10

Cell: 7.782 4.235 7.507 Å, 90.00 90.00 90.00°
Fractional positions:
Pm  0.250  0.000  0.118
Pm  0.750  0.000  0.882
Ga  0.250  0.000  0.724
Ga  0.750  0.000  0.276
Ag  0.000  0.000  0.500
Ag  0.053  0.500  0.816
Ag  0.250  0.500  0.442
Ag  0.447  0.500  0.816
Ag  0.500  0.000  0.500
Ag  0.553  0.500  0.184
Ag  0.750  0.500  0.558
Ag  0.947  0.500  0.184

=====

Record 15
The following is a DFT calculation (PBE-GGA) of a relaxed structure of La3TmTl4S8.

Computed properties:
SG: R-3m
Raw total energy, eV/atom: -5.367

Cell: 8.906 8.906 8.906 Å, 56.40 56.40 56.40°
Fractional positions:
La  0.000  0.500  0.500
La  0.500  0.000  0.500
La  0.500  0.500  0.000
Tm  0.000  0.000  0.000
Tl  0.000  0.000  0.500
Tl  0.000  0.500  0.000
Tl  0.500  0.000  0.000
Tl  0.500  0.500  0.500
S  0.226  0.226  0.748
S  0.226  0.748  0.226
S  0.252  0.774  0.774
S  0.265  0.265  0.265
S  0.735  0.735  0.735
S  0.748  0.226  0.226
S  0.774  0.252  0.774
S  0.774  0.774  0.252

=====

Record 16
The following is a DFT calculation (PBE-GGA) of a relaxed structure of YCoMo2.

Computed properties:
SG: Cmm2
Formation energy from the elements, eV per formula unit: 1.366
Offset from the most stable computed form, meV per atom: 145

Cell: 2.932 2.932 8.096 Å, 90.00 90.00 100.73°
Fractional positions:
Y  0.000  0.000  0.000
Co  0.500  0.500  0.260
Mo  0.000  0.000  0.448
Mo  0.500  0.500  0.694

=====

Record 17
The following is a DFT calculation (PBE-GGA) of a relaxed structure of YZnPt.

Computed properties:
SG: I4mm
Formation energy from the elements, eV per formula unit: -2.325

Cell: 5.231 5.231 5.231 Å, 140.01 140.01 57.84°
Fractional positions:
Y  0.000  0.000  0.000
Zn  0.687  0.687  0.000
Pt  0.331  0.331  0.000

=====

Record 18
The following is a DFT calculation (PBE-GGA) of a relaxed structure of YPaGa5.

Computed properties:
SG: P4/mmm
Formation energy from the elements, eV per formula unit: -0.784

Cell: 4.845 4.845 6.656 Å, 90.00 90.00 90.00°
Fractional positions:
Y  0.000  0.000  0.000
Pa  0.500  0.500  0.500
Ga  0.000  0.500  0.253
Ga  0.000  0.500  0.747
Ga  0.500  0.000  0.253
Ga  0.500  0.000  0.747
Ga  0.500  0.500  0.000

=====

Record 19
The following is a DFT calculation (PBE-GGA) of a relaxed structure of Li6CdBi.

Computed properties:
SG: Amm2
Formation energy from the elements, eV per formula unit: -2.288

Cell: 4.807 5.993 5.993 Å, 64.08 90.00 90.00°
Fractional positions:
Li  0.000  0.000  0.000
Li  0.000  0.514  0.994
Li  0.000  0.994  0.514
Li  0.500  0.315  0.315
Li  0.500  0.325  0.807
Li  0.500  0.807  0.325
Cd  0.000  0.494  0.494
Bi  0.500  0.823  0.823

=====

Record 20
The following is a DFT calculation (PBE-GGA) of a relaxed structure of TbP2PtRh5.

Computed properties:
SG: P4/mmm
Formation energy from the elements, eV per formula unit: -4.177

Cell: 3.951 3.951 10.364 Å, 90.00 90.00 90.00°
Fractional positions:
Tb  0.000  0.000  0.000
P  0.500  0.500  0.219
P  0.500  0.500  0.781
Pt  0.000  0.000  0.500
Rh  0.000  0.500  0.329
Rh  0.000  0.500  0.671
Rh  0.500  0.000  0.329
Rh  0.500  0.000  0.671
Rh  0.500  0.500  0.000

=====

Number 1: M_tot 0.00 μB/f.u.. Number 2: M_tot 0.00 μB/f.u.. Number 3: M_tot 0.00 μB/f.u.. Number 4: M_tot 0.00 μB/f.u.. Number 5: M_tot 1.00 μB/f.u.. Number 6: M_tot 0.00 μB/f.u.. Number 7: M_tot 0.00 μB/f.u.. Number 8: M_tot 0.00 μB/f.u.. Number 9: M_tot 0.00 μB/f.u.. Number 10: M_tot 0.00 μB/f.u.. Number 11: M_tot 0.00 μB/f.u.. Number 12: M_tot 0.00 μB/f.u.. Number 13: M_tot 0.99 μB/f.u.. Number 14: M_tot 0.00 μB/f.u.. Number 15: M_tot 0.00 μB/f.u.. Number 16: M_tot 0.00 μB/f.u.. Number 17: M_tot 0.00 μB/f.u.. Number 18: M_tot 0.00 μB/f.u.. Number 19: M_tot 0.00 μB/f.u.. Number 20: M_tot 0.00 μB/f.u..